# Dy2AlCoO6

An optimized crystal structure of Dy2AlCoO6 (PBE+U, Alexandria).

Unit cell a=5.205 b=5.412 c=9.047 alpha=90.00 beta=124.76 gamma=90.00
Space group P2_1/c (No. 14)
Unique sites:
Dy (0.234, 0.062, 0.250) x4
Al (0.500, 0.000, 0.000) x2
Co (0.000, 0.000, 0.500) x2
O (0.156, 0.201, 0.953) x4
O (0.253, 0.706, 0.952) x4
O (0.344, 0.025, 0.752) x4

Properties
N(E_F): 0.00 states/eV/cell
Calculated volume: 209 Å³ per cell
ρ: 8.0 Mg/m³
Total energy: -7.57 eV per atom